TbNd4 | GGA-PBE | relaxed

Computed properties:
ΔE to the lowest computed polymorph ... 6 meV/atom
Energy of formation ... 0.081 eV per formula unit
Total magnetization ... 0.000 μB/atom
E ... -4.724 eV per atom

abc: 13.187 13.187 13.187
angles: 164.04 164.04 22.65
Fractional positions:
1 Tb 0.000 0.000 0.000
2 Nd 0.199 0.199 0.000
3 Nd 0.402 0.402 0.000
4 Nd 0.598 0.598 0.000
5 Nd 0.801 0.801 0.000